Entry from Alexandria via LeMat-Bulk: crystalline Ho2Ga4Ni3Pd at its relaxed geometry (PBE).

final energy = -5.01 eV per atom
E_form = -6.32 eV per formula unit
density of states at the Fermi level = 4.5 states/eV per cell
ρ = 8.83 g cm⁻³
total magnetic moment = 0.0000 μB/atom

Cell: 3.9742 3.9742 10.6069 Å, 90.00 90.00 90.00°
With the nearest neighbours (Å) after each atom.
Element x y z (fractional)
Ni 0.5000 0.0000 0.8643  5 Ga 2.37-2.45
Ni 0.0000 0.5000 0.1357  5 Ga 2.37-2.45
Ni 0.0000 0.0000 0.5000  4 Ga 2.49
Ga 0.0000 0.0000 0.0000  4 Ni 2.45
Ga 0.0000 0.5000 0.3591  3 Ni 2.37-2.49, 2 Pd 2.49
Ga 0.5000 0.0000 0.6409  3 Ni 2.37-2.49, 2 Pd 2.49
Ga 0.5000 0.5000 0.0000  4 Ni 2.45
Ho 0.5000 0.0000 0.2365  4 Ni 3.01, 8 Ga 3.10-3.20
Ho 0.0000 0.5000 0.7635  4 Ni 3.01, 8 Ga 3.10-3.20
Pd 0.5000 0.5000 0.5000  4 Ga 2.49

Entry from Alexandria via LeMat-Bulk: crystalline AcLaSb2 at its relaxed geometry (PBE).

final energy = -5.56 eV per atom
energy above the lowest structure with this stoichiometry = 3 meV/atom
E_form (uncorrected) = -5.0 eV/f.u.
density of states at the Fermi level = 1.1 states/eV per cell
ρ = 6.82 g cm⁻³
total magnetic moment = 0.0000 μB/atom

Cell: 4.7126 6.6743 9.4354 Å, 90.00 90.00 90.00°
With the nearest neighbours (Å) after each atom.
Element x y z (fractional)
Ac 0.5000 0.0000 0.1264  6 Sb 3.34-3.40
Ac 0.0000 0.5000 0.8736  6 Sb 3.34-3.40
Sb 0.5000 0.5000 0.6178  4 La 3.27-3.34, 2 Ac 3.37
Sb 0.0000 0.0000 0.3822  4 La 3.27-3.34, 2 Ac 3.37
Sb 0.5000 0.5000 0.1328  2 La 3.30, 4 Ac 3.34-3.40
Sb 0.0000 0.0000 0.8672  2 La 3.30, 4 Ac 3.34-3.40
La 0.0000 0.5000 0.3770  6 Sb 3.27-3.34
La 0.5000 0.0000 0.6230  6 Sb 3.27-3.34

Entry from Alexandria via LeMat-Bulk: crystalline AcCoNi3 at its relaxed geometry (PBE).

final energy = -5.68 eV per atom
E_form = 0.16 eV per formula unit
density of states at the Fermi level = 14.0 states/eV per cell
ρ = 9.26 g cm⁻³
total magnetic moment = 0.4415 μB/atom

Cell: 5.4584 5.9192 5.9190 Å, 120.00 90.00 90.00°
With the nearest neighbours (Å) after each atom.
Element x y z (fractional)
Ni 0.2499 0.8055 0.1945  2 Co 2.42, 2 Ni 2.47
Ni 0.2499 0.8055 0.6110  2 Co 2.42, 2 Ni 2.47
Ni 0.7501 0.1945 0.3890  2 Co 2.42, 2 Ni 2.47
Ni 0.7501 0.6110 0.8055  2 Co 2.42, 2 Ni 2.47
Ni 0.2499 0.3890 0.1945  2 Co 2.42, 2 Ni 2.47
Ni 0.7501 0.1945 0.8055  2 Co 2.42, 2 Ni 2.47
Ac 0.7500 0.6667 0.3333  12 Ni 2.97-3.08
Ac 0.2500 0.3333 0.6667  12 Ni 2.97-3.08
Co 0.5000 0.0000 0.0000  6 Ni 2.42
Co 0.0000 0.0000 0.0000  6 Ni 2.42

Entry from Alexandria via LeMat-Bulk: crystalline LiSmPF at its relaxed geometry (PBE).

final energy = -5.58 eV per atom
E_form (uncorrected) = -8.4 eV/f.u.
ρ = 5.26 g cm⁻³
total magnetic moment = 0.0000 μB/atom

Cell: 3.8360 3.8360 8.8888 Å, 90.00 90.00 90.00°
With the nearest neighbours (Å) after each atom.
Element x y z (fractional)
Li 0.5000 0.5000 0.5000  4 P 2.52, 4 Li 2.71
Li 0.0000 0.0000 0.5000  4 P 2.52, 4 Li 2.71
Sm 0.5000 0.0000 0.1791  4 F 2.49
Sm 0.0000 0.5000 0.8209  4 F 2.49
F 0.0000 0.0000 0.0000  4 Sm 2.49, 4 F 2.71
F 0.5000 0.5000 0.0000  4 Sm 2.49, 4 F 2.71
P 0.5000 0.0000 0.6843  4 Li 2.52
P 0.0000 0.5000 0.3157  4 Li 2.52

Entry from Alexandria via LeMat-Bulk: crystalline SrCoAsBr2 at its relaxed geometry (PBE).

final energy = -3.03 eV per atom
energy above the lowest structure with this stoichiometry = 905 meV/atom
E_form (uncorrected) = 1.6 eV/f.u.
density of states at the Fermi level = 8.8 states/eV per cell
ρ = 3.02 g cm⁻³
total magnetic moment = 0.8128 μB/atom

Cell: 5.7719 5.7719 6.2984 Å, 90.00 90.00 90.00°
With the nearest neighbours (Å) after each atom.
Element x y z (fractional)
Br 0.0000 0.5000 0.0000  2 Sr 2.89
Br 0.5000 0.0000 0.0000  2 Sr 2.89
Co 0.5000 0.5000 0.5000  4 As 4.08, 8 Br 4.27
Sr 0.0000 0.0000 0.0000  4 Br 2.89, 2 As 3.15
As 0.0000 0.0000 0.5000  2 Sr 3.15

Entry from Alexandria via LeMat-Bulk: crystalline GdHo2Te at its relaxed geometry (PBE).

final energy = -7.14 eV per atom
energy above the lowest structure with this stoichiometry = 0 meV/atom
E_form (uncorrected) = -2.2 eV/f.u.
density of states at the Fermi level = 4.9 states/eV per cell
ρ = 8.75 g cm⁻³
total magnetic moment = 1.9083 μB/atom

Cell: 3.8622 3.8622 7.8192 Å, 90.00 90.00 90.00°
With the nearest neighbours (Å) after each atom.
Element x y z (fractional)
Ho 0.0000 0.0000 0.2236  4 Te 3.24, 4 Gd 3.48, 1 Ho 3.50
Ho 0.0000 0.0000 0.7764  4 Te 3.24, 4 Gd 3.48, 1 Ho 3.50
Te 0.5000 0.5000 0.0000  8 Ho 3.24
Gd 0.5000 0.5000 0.5000  8 Ho 3.48, 4 Gd 3.86

Entry from Alexandria via LeMat-Bulk: crystalline BaInSn2 at its relaxed geometry (PBE).

final energy = -3.40 eV per atom
E_form = -0.92 eV per formula unit
density of states at the Fermi level = 3.6 states/eV per cell
ρ = 5.42 g cm⁻³
total magnetic moment = 0.0000 μB/atom

Cell: 5.3716 5.3716 11.0622 Å, 75.95 75.95 90.00°
With the nearest neighbours (Å) after each atom.
Element x y z (fractional)
In 0.5000 0.5000 0.0000  4 Sn 3.02
In 0.2500 0.7500 0.5000  4 Sn 3.02
Ba 0.7500 0.2500 0.5000  4 Sn 3.50, 4 In 3.80
Ba 0.0000 0.0000 0.0000  4 Sn 3.50, 4 In 3.80
Sn 0.2316 0.6250 0.2500  2 In 3.02, 2 Sn 3.10
Sn 0.8750 0.7684 0.7500  2 In 3.02, 2 Sn 3.10
Sn 0.3750 0.4816 0.7500  2 In 3.02, 2 Sn 3.10
Sn 0.5184 0.1250 0.2500  2 In 3.02, 2 Sn 3.10

Entry from Alexandria via LeMat-Bulk: crystalline LaCdIr2 at its relaxed geometry (PBE).

final energy = -5.82 eV per atom
E_form = 0.27 eV per formula unit
density of states at the Fermi level = 4.5 states/eV per cell
ρ = 13.33 g cm⁻³
total magnetic moment = 0.0001 μB/atom

Cell: 2.9823 2.9823 8.9060 Å, 90.00 90.00 90.00°
With the nearest neighbours (Å) after each atom.
Element x y z (fractional)
La 0.0000 0.0000 0.4756  4 La 2.98, 4 Ir 3.19
Cd 0.5000 0.5000 0.7929  4 Ir 2.95, 4 Cd 2.98
Ir 0.5000 0.5000 0.2072  8 Ir 2.66-2.98
Ir 0.0000 0.0000 0.0243  8 Ir 2.66-2.98, 4 Cd 2.95

Entry from Alexandria via LeMat-Bulk: crystalline NbTc2SeCl at its relaxed geometry (PBE).

final energy = -6.21 eV per atom
E_form (uncorrected) = 5.1 eV/f.u.
density of states at the Fermi level = 5.5 states/eV per cell
ρ = 7.52 g cm⁻³
total magnetic moment = 0.1660 μB/atom

Cell: 4.3901 4.6209 4.3901 Å, 90.00 90.00 90.00°
With the nearest neighbours (Å) after each atom.
Element x y z (fractional)
Se 0.5000 0.5000 0.5000  4 Nb 3.10, 8 Tc 3.19
Tc 0.0000 0.0000 0.5000  2 Cl 2.20
Tc 0.5000 0.0000 0.0000  2 Cl 2.20
Nb 0.0000 0.5000 0.0000  2 Cl 2.31
Cl 0.0000 0.0000 0.0000  4 Tc 2.20, 2 Nb 2.31

Entry from Alexandria via LeMat-Bulk: crystalline KGaI at its relaxed geometry (PBE).

final energy = -2.52 eV per atom
E_form (uncorrected) = -1.9 eV/f.u.
density of states at the Fermi level = 1.5 states/eV per cell
ρ = 3.41 g cm⁻³
total magnetic moment = 0.0000 μB/atom

Cell: 4.8677 4.8677 10.0387 Å, 100.53 100.53 86.77°
With the nearest neighbours (Å) after each atom.
Element x y z (fractional)
K 0.1643 0.1643 0.7900  5 I 3.36-3.71, 2 Ga 3.47-3.76
K 0.8357 0.8357 0.2100  5 I 3.36-3.71, 2 Ga 3.47-3.76
Ga 0.3090 0.3090 0.4846  1 Ga 2.64
Ga 0.6910 0.6910 0.5154  1 Ga 2.64
I 0.6851 0.6851 0.8279  1 Ga 3.15, 3 K 3.36-3.51
I 0.3149 0.3149 0.1721  1 Ga 3.15, 3 K 3.36-3.51

Entry from Alexandria via LeMat-Bulk: crystalline KNiHgPb2 at its relaxed geometry (PBE).

final energy = -2.91 eV per atom
E_form = 0.07 eV per formula unit
density of states at the Fermi level = 3.1 states/eV per cell
ρ = 8.20 g cm⁻³
total magnetic moment = 0.0000 μB/atom

Cell: 5.2296 5.2296 5.2770 Å, 90.00 90.00 90.00°
With the nearest neighbours (Å) after each atom.
Element x y z (fractional)
K 0.5000 0.5000 0.5000  4 Hg 3.70, 8 Pb 3.71
Ni 0.0000 0.0000 0.0000  4 Pb 2.61, 2 Hg 2.64
Hg 0.0000 0.0000 0.5000  2 Ni 2.64
Pb 0.5000 0.0000 0.0000  2 Ni 2.61
Pb 0.0000 0.5000 0.0000  2 Ni 2.61

Entry from Alexandria via LeMat-Bulk: crystalline NaCaY2Ir at its relaxed geometry (PBE).

final energy = -5.27 eV per atom
E_form = -1.25 eV per formula unit
density of states at the Fermi level = 3.4 states/eV per cell
ρ = 4.26 g cm⁻³
total magnetic moment = 0.0000 μB/atom

Cell: 5.4290 5.4290 5.7285 Å, 90.00 90.00 90.00°
With the nearest neighbours (Å) after each atom.
Element x y z (fractional)
Ca 0.0000 0.0000 0.5000  2 Ir 2.86
Y 0.0000 0.5000 0.0000  2 Ir 2.71
Y 0.5000 0.0000 0.0000  2 Ir 2.71
Na 0.5000 0.5000 0.5000  4 Ca 3.84, 8 Y 3.95
Ir 0.0000 0.0000 0.0000  4 Y 2.71, 2 Ca 2.86

Entry from Alexandria via LeMat-Bulk: crystalline CePr2I at its relaxed geometry (PBE).

final energy = -4.56 eV per atom
energy above the lowest structure with this stoichiometry = 30 meV/atom
E_form (uncorrected) = -1.2 eV/f.u.
density of states at the Fermi level = 7.2 states/eV per cell
ρ = 6.75 g cm⁻³
total magnetic moment = 0.2148 μB/atom

Cell: 3.7178 3.7178 9.7632 Å, 90.00 90.00 90.00°
With the nearest neighbours (Å) after each atom.
Element x y z (fractional)
I 0.5000 0.5000 0.5000  8 Pr 3.56, 4 I 3.72
Pr 0.0000 0.0000 0.7461  4 I 3.56, 4 Ce 3.61, 4 Pr 3.72
Pr 0.0000 0.0000 0.2539  4 I 3.56, 4 Ce 3.61, 4 Pr 3.72
Ce 0.5000 0.5000 0.0000  8 Pr 3.61, 4 Ce 3.72

Entry from Alexandria via LeMat-Bulk: crystalline K2NdHfSe4 at its relaxed geometry (PBE).

final energy = -5.34 eV per atom
E_form (uncorrected) = -11.8 eV/f.u.
density of states at the Fermi level = 3.0 states/eV per cell
ρ = 5.24 g cm⁻³
total magnetic moment = 0.0000 μB/atom

Cell: 4.0936 7.1694 8.0830 Å, 106.77 90.00 90.00°
With the nearest neighbours (Å) after each atom.
Element x y z (fractional)
Se 0.5000 0.7402 0.7897  1 Hf 2.75, 2 Nd 2.95
Se 0.0000 0.2873 0.7996  2 Hf 2.78, 1 Nd 2.97
Se 0.0000 0.7127 0.2004  2 Hf 2.78, 1 Nd 2.97
Se 0.5000 0.2598 0.2103  1 Hf 2.75, 2 Nd 2.95
K 0.5000 0.0000 0.5000  6 Se 3.38-3.39
K 0.0000 0.5000 0.5000  6 Se 3.21
Hf 0.5000 0.5000 0.0000  6 Se 2.75-2.78
Nd 0.0000 0.0000 0.0000  6 Se 2.95-2.97

Entry from Alexandria via LeMat-Bulk: crystalline Ce2YTh3Sb6 at its relaxed geometry (PBE).

final energy = -6.45 eV per atom
E_form (uncorrected) = -12.1 eV/f.u.
density of states at the Fermi level = 17.6 states/eV per cell
ρ = 7.78 g cm⁻³
total magnetic moment = 0.1546 μB/atom

Cell: 4.4864 8.9746 10.0294 Å, 102.85 102.92 90.00°
With the nearest neighbours (Å) after each atom.
Element x y z (fractional)
Ce 0.8341 0.6677 0.6682  6 Sb 3.16-3.18
Ce 0.1659 0.3323 0.3318  6 Sb 3.16-3.18
Sb 0.3329 0.4177 0.6658  3 Ce 3.17-3.18, 3 Th 3.18
Sb 0.3360 0.9170 0.6720  1 Y 3.12, 2 Ce 3.16, 3 Th 3.18-3.20
Sb 0.0004 0.7554 0.0008  2 Y 3.14, 1 Ce 3.17, 3 Th 3.19-3.21
Sb 0.9996 0.2446 0.9992  2 Y 3.14, 1 Ce 3.17, 3 Th 3.19-3.21
Sb 0.6640 0.0830 0.3280  1 Y 3.12, 2 Ce 3.16, 3 Th 3.18-3.20
Sb 0.6671 0.5823 0.3342  3 Ce 3.17-3.18, 3 Th 3.18
Th 0.1678 0.8340 0.3355  6 Sb 3.18-3.20
Th 0.5000 0.5000 0.0000  6 Sb 3.18-3.21
Th 0.8322 0.1660 0.6645  6 Sb 3.18-3.20
Y 0.5000 0.0000 0.0000  6 Sb 3.12-3.14

Entry from Alexandria via LeMat-Bulk: crystalline LiPtS2 at its relaxed geometry (PBE).

final energy = -4.66 eV per atom
E_form (uncorrected) = -2.4 eV/f.u.
density of states at the Fermi level = 6.4 states/eV per cell
ρ = 6.52 g cm⁻³
total magnetic moment = 0.0000 μB/atom

Cell: 5.0106 5.0153 10.7920 Å, 89.96 90.00 90.00°
With the nearest neighbours (Å) after each atom.
Element x y z (fractional)
S 0.2500 0.0001 0.6551  3 Pt 2.37-2.53, 2 Li 2.53
S 0.2500 0.4998 0.4052  3 Pt 2.37-2.53, 2 Li 2.53
S 0.2500 0.0002 0.0948  3 Pt 2.37-2.53, 2 Li 2.53
S 0.7500 0.9998 0.9052  3 Pt 2.37-2.53, 2 Li 2.53
S 0.2500 0.4999 0.8449  3 Pt 2.37-2.53, 2 Li 2.53
S 0.7500 0.5002 0.5948  3 Pt 2.37-2.53, 2 Li 2.53
S 0.7500 0.9999 0.3449  3 Pt 2.37-2.53, 2 Li 2.53
S 0.7500 0.5001 0.1551  3 Pt 2.37-2.53, 2 Li 2.53
Pt 0.7500 0.4999 0.3750  6 S 2.37-2.53
Pt 0.2500 0.5001 0.6250  6 S 2.37-2.53
Pt 0.7500 0.0001 0.1250  6 S 2.37-2.53
Pt 0.2500 0.9999 0.8750  6 S 2.37-2.53
Li 0.2500 0.9998 0.3751  4 S 2.53
Li 0.7500 0.0002 0.6249  4 S 2.53
Li 0.2500 0.5002 0.1249  4 S 2.53
Li 0.7500 0.4998 0.8751  4 S 2.53

Entry from Alexandria via LeMat-Bulk: crystalline Ni2OsPb at its relaxed geometry (PBE).

final energy = -6.06 eV per atom
E_form = 2.25 eV per formula unit
density of states at the Fermi level = 5.0 states/eV per cell
ρ = 14.52 g cm⁻³
total magnetic moment = 0.0003 μB/atom

Cell: 5.0496 5.0496 5.0496 Å, 143.15 129.46 64.17°
With the nearest neighbours (Å) after each atom.
Element x y z (fractional)
Ni 0.0152 0.0152 0.0000  2 Ni 2.46, 4 Os 2.69, 2 Pb 2.69
Ni 0.2340 0.7340 0.5000  2 Ni 2.46, 4 Pb 2.69, 2 Os 2.70
Os 0.4890 0.4890 0.0000  8 Ni 2.69-3.01, 4 Pb 2.83-2.90
Pb 0.7618 0.2618 0.5000  6 Ni 2.69, 4 Os 2.83-2.90

Entry from Alexandria via LeMat-Bulk: crystalline Na2InAg8 at its relaxed geometry (PBE).

final energy = -2.54 eV per atom
E_form = 0.26 eV per formula unit
density of states at the Fermi level = 3.6 states/eV per cell
ρ = 7.47 g cm⁻³
total magnetic moment = 0.0000 μB/atom

Cell: 4.0577 9.1482 7.9136 Å, 125.31 104.86 90.00°
With the nearest neighbours (Å) after each atom.
Element x y z (fractional)
Ag 0.3308 0.0672 0.6615  7 Ag 2.85-3.02, 1 In 3.00, 2 Na 3.18
Ag 0.0000 0.7783 0.0000  2 In 2.87, 6 Ag 2.91-3.02, 2 Na 3.04
Ag 0.3308 0.5943 0.6615  7 Ag 2.85-3.02, 1 In 3.00, 2 Na 3.18
Ag 0.0000 0.2217 0.0000  2 In 2.87, 6 Ag 2.91-3.02, 2 Na 3.04
Ag 0.1821 0.1821 0.3642  8 Ag 2.97-3.02, 2 In 3.02, 2 Na 3.02
Ag 0.6692 0.9328 0.3385  7 Ag 2.85-3.02, 1 In 3.00, 2 Na 3.18
Ag 0.6692 0.4057 0.3385  7 Ag 2.85-3.02, 1 In 3.00, 2 Na 3.18
Ag 0.8179 0.8179 0.6358  8 Ag 2.97-3.02, 2 In 3.02, 2 Na 3.02
Na 0.8647 0.3647 0.7295  10 Ag 3.02-3.23, 1 Na 3.32
Na 0.1353 0.6353 0.2705  10 Ag 3.02-3.23, 1 Na 3.32
In 0.5000 0.0000 0.0000  12 Ag 2.87-3.02

Entry from Alexandria via LeMat-Bulk: crystalline LaYIr at its relaxed geometry (PBE).

final energy = -7.24 eV per atom
energy above the lowest structure with this stoichiometry = 132 meV/atom
E_form = -1.46 eV per formula unit
density of states at the Fermi level = 4.6 states/eV per cell
ρ = 8.40 g cm⁻³
total magnetic moment = 0.0004 μB/atom

Cell: 7.0805 7.0806 3.5409 Å, 75.52 75.52 28.96°
With the nearest neighbours (Å) after each atom.
Element x y z (fractional)
La 0.3714 0.3715 0.6286  4 Ir 3.07, 1 Y 3.34
Ir 0.0052 0.0051 0.9948  4 Y 2.95, 4 La 3.07
Y 0.6234 0.6234 0.3766  4 Ir 2.95

Entry from Alexandria via LeMat-Bulk: crystalline LiMgNpO5 at its relaxed geometry (PBE).

final energy = -7.57 eV per atom
E_form (uncorrected) = -19.3 eV/f.u.
ρ = 5.62 g cm⁻³
total magnetic moment = 0.0000 μB/atom

Cell: 5.5986 5.5986 7.7786 Å, 104.03 104.03 110.89°
With the nearest neighbours (Å) after each atom.
Element x y z (fractional)
Np 0.0000 0.0000 0.0000  4 O 1.93-1.97
Np 0.0000 0.0000 0.5000  4 O 1.93-1.97
O 0.1174 0.8826 0.2500  1 Mg 2.11, 2 Np 2.23
O 0.8826 0.1174 0.7500  1 Mg 2.11, 2 Np 2.23
O 0.6294 0.7297 0.9329  1 Li 1.91, 1 Np 1.93
O 0.3706 0.2703 0.0671  1 Li 1.91, 1 Np 1.93
O 0.9707 0.3212 0.1486  1 Li 1.89, 1 Np 1.97, 1 Mg 2.05
O 0.6788 0.0293 0.3514  1 Li 1.89, 1 Np 1.97, 1 Mg 2.05
O 0.0293 0.6788 0.8514  1 Li 1.89, 1 Np 1.97, 1 Mg 2.05
O 0.3212 0.9707 0.6486  1 Li 1.89, 1 Np 1.97, 1 Mg 2.05
O 0.2703 0.3706 0.5671  1 Li 1.91, 1 Np 1.93
O 0.7297 0.6294 0.4329  1 Li 1.91, 1 Np 1.93
Mg 0.6542 0.3458 0.7500  3 O 2.05-2.11
Mg 0.3458 0.6542 0.2500  3 O 2.05-2.11
Li 0.6927 0.3073 0.2500  4 O 1.89-1.91
Li 0.3073 0.6927 0.7500  4 O 1.89-1.91